# 1
Density functional theory data (GGA-PBE) for crystalline TcHgRu2 at its relaxed geometry.

Cell: 2.839 2.839 7.815 Å, 90.00 90.00 90.00°
Sites, in units of the cell vectors:
Hg: 0.500 0.500 0.750
Ru: 0.000 0.000 0.027
Ru: 0.000 0.000 0.473
Tc: 0.500 0.500 0.250

Calculated values
space group	P4/mmm
total magnetization	0.001	μB/cell
volume	63.0	Å³ per cell
energy of formation from the pure elements	111	kJ/mol of formula units
total DFT energy (no corrections)	-7.018	eV per atom
D(E_F)	5.7	states/eV/f.u.

---

# 2
Density functional theory data (GGA-PBE) for crystalline TcHgRu2 at its relaxed geometry.

Cell: 2.771 2.771 9.441 Å, 90.00 90.00 117.41°
Each line ends with the local moment (μB).
Sites, in units of the cell vectors:
Hg: 0.500 0.500 0.750  0.00
Ru: 0.000 0.000 0.020  0.46
Ru: 0.000 0.000 0.480  0.46
Tc: 0.500 0.500 0.250  -0.04

Calculated values
space group	Cmmm
total magnetization	0.911	μB/cell
volume	64.4	Å³ per cell
energy of formation from the pure elements	215	kJ/mol of formula units
total DFT energy (no corrections)	-6.747	eV per atom
D(E_F)	5.9	states/eV/f.u.